Ba8Pd5Rh | PBE-GGA | relaxed

Values from the calculation:
- crystal system = tetragonal
- ΔH_f (0 K) (eV per atom) = -0.4059
- magnetization (μB per cell) = 0.00
- VASP energy (eV per atom) = -3.884
- volume (A^3/atom) = 34.19

```
14
Lattice="8.072 0.000 -2.775 -4.028 6.952 -2.881 -0.016 0.000 8.536" Properties=species:S:1:pos:R:3 pbc="T T T"
Ba 3.487 2.638 4.639
Ba 5.088 1.745 0.395
Ba 0.989 1.760 1.842
Ba 1.489 4.314 -1.080
Ba 1.478 6.029 3.221
Ba -2.009 5.207 1.807
Ba -1.981 5.192 5.995
Ba -0.518 0.923 6.013
Pd 4.028 0.000 2.881
Pd 2.531 0.901 -1.394
Pd 3.537 4.346 1.421
Pd 6.533 2.606 -2.767
Pd 3.543 6.051 -2.809
Rh -0.008 3.476 4.268
```